Record 1
Material: SnGeAsBr2
Method: DFT, SCAN
State: single point on PBEsol structure

Values from the calculation:
- volume (Å³/f.u.) = 152.65
- ΔE_f (raw) (kcal/mol of atoms) = 10.7
- crystal system = tetragonal
- density (kg/m3) = 4635

Unit cell a=5.3145 b=5.3145 c=5.4047 alpha=90.00 beta=90.00 gamma=90.00
Atoms (fractional coordinates):
Sn: 0.0000 0.0000 0.0000
Ge: 0.5000 0.5000 0.5000
As: 0.0000 0.0000 0.5000
Br: 0.0000 0.5000 0.0000
Br: 0.5000 0.0000 0.0000

=====

Record 2
Material: AsHBr2
Method: DFT, SCAN
State: single point on PBEsol structure

Values from the calculation:
- volume (Å³/f.u.) = 73.10
- crystal system = cubic
- density (kg/m3) = 5355

Unit cell a=6.6374 b=6.6374 c=6.6374 alpha=90.00 beta=90.00 gamma=90.00
Atoms (fractional coordinates):
As: 0.0000 0.0000 0.0000
As: 0.0000 0.5000 0.5000
As: 0.5000 0.0000 0.5000
As: 0.5000 0.5000 0.0000
H: 0.0000 0.0000 0.5000
H: 0.0000 0.5000 0.0000
H: 0.5000 0.0000 0.0000
H: 0.5000 0.5000 0.5000
Br: 0.2500 0.2500 0.2500
Br: 0.2500 0.2500 0.7500
Br: 0.2500 0.7500 0.2500
Br: 0.2500 0.7500 0.7500
Br: 0.7500 0.2500 0.2500
Br: 0.7500 0.2500 0.7500
Br: 0.7500 0.7500 0.2500
Br: 0.7500 0.7500 0.7500

=====

Taking the records one at a time from the top gives uncorrected energy values of -0.8217 -0.5465 Ha/atom.